Record 1
Density functional theory data (PBE-GGA) for crystalline CrCuAs at its relaxed geometry.

The structure belongs to space group P3m1 (No. 156); the cell edges are 4.0712, 4.0712 and 3.1885 Å and the angles 90.00°, 90.00° and 120.00°. The inequivalent atoms are Cr at (0.0000, 0.0000, 0.0000), Cu at (0.6667, 0.3333, 0.4761) and As at (0.3333, 0.6667, 0.5675).

The crystal system is trigonal. The energy of formation comes out at 0.18 eV/atom.

***

Record 2
Density functional theory data (PBE-GGA) for crystalline HoEr12Co5 at its relaxed geometry.

The structure belongs to space group Immm (No. 71); the cell edges are 9.355, 9.411 and 9.916 Å and the angles 90.00°, 90.00° and 90.00°. The inequivalent atoms are Ho at (0.000, 0.000, 0.000), Er at (0.000, 0.191, 0.296), Er at (0.188, 0.500, 0.314), Er at (0.210, 0.318, 0.000), Co at (0.000, 0.000, 0.500), Co at (0.000, 0.374, 0.500) and Co at (0.000, 0.500, 0.113).

The crystal system is orthorhombic. The energy of formation comes out at -0.14 eV/atom.

***

Record 3
Density functional theory data (PBE-GGA) for crystalline Na4Bi3Pb2 at its relaxed geometry.

The structure belongs to space group C2/m (No. 12); the cell edges are 11.413, 5.224 and 10.026 Å and the angles 90.00°, 113.41° and 90.00°. The inequivalent atoms are Na at (0.015, 0.000, 0.335), Na at (0.159, 0.500, 0.891), Bi at (0.000, 0.000, 0.000), Bi at (0.149, 0.500, 0.548) and Pb at (0.185, 0.500, 0.238).

The crystal system is monoclinic. The energy of formation comes out at -0.21 eV/atom.

***

Record 4
Density functional theory data (PBE-GGA) for crystalline HoInHg5 at its relaxed geometry.

The structure belongs to space group P4/mmm (No. 123); the cell edges are 5.052, 5.052 and 7.111 Å and the angles 90.00°, 90.00° and 90.00°. The inequivalent atoms are Ho at (0.000, 0.000, 0.000), In at (0.000, 0.000, 0.500), Hg at (0.000, 0.500, 0.270) and Hg at (0.500, 0.500, 0.000).

The crystal system is tetragonal. The energy of formation comes out at -0.18 eV/atom.

***

Record 5
Density functional theory data (PBE-GGA) for crystalline TiOsPb at its relaxed geometry.

The structure belongs to space group C2/m (No. 12); the cell edges are 9.857, 3.099 and 8.031 Å and the angles 90.00°, 101.90° and 90.00°. The inequivalent atoms are Ti at (0.096, 0.000, 0.186), Os at (0.134, 0.500, 0.956) and Pb at (0.151, 0.000, 0.634).

The crystal system is monoclinic. Its energy above the lowest structure with this stoichiometry is 0.190 eV/f.u. The energy of formation comes out at 0.00 eV/atom.